Computed, not measured: a relaxed structure of Li4Tl2Cd3 at the PBE level of DFT.

```
9
Lattice="4.789 0.001 0.002 2.392 4.213 0.185 0.000 -0.234 8.996" Properties=species:S:1:pos:R:3 pbc="T T T"
Li 2.395 4.114 3.170
Cd 0.000 0.000 0.000
Li 4.787 -0.135 6.013
Li 4.784 2.623 8.058
Cd 2.394 1.291 4.052
Li 2.398 1.356 1.125
Tl 4.791 2.735 1.977
Tl 2.390 1.244 7.206
Cd 4.787 2.688 5.130
```

Properties
DOS(E_F)	3.89	states/eV/cell
space group	P-1 (2)
calculated formation energy	-0.22	eV per atom

=====

Computed, not measured: a relaxed structure of Ga2Pd2I at the PBE level of DFT.

```
5
Lattice="4.312 0.000 0.000 0.000 4.312 0.000 2.156 2.156 5.450" Properties=species:S:1:pos:R:3 pbc="T T T"
Ga 4.312 4.312 4.180
Ga 2.156 2.156 1.270
Pd 2.156 4.312 2.725
I 0.000 0.000 0.000
Pd 4.312 2.156 2.725
```

Properties
DOS(E_F)	1.96	states/eV/cell
space group	I4/mmm (139)
distance to the lowest polymorph of the same formula	0.0	kJ/mol of formula units
formation energy (no corrections)	-0.2071	eV/atom

=====

Computed, not measured: a relaxed structure of NiTePIr at the PBE level of DFT.

```
12
Lattice="3.795 0.000 0.000 -1.898 3.287 0.000 0.000 0.000 19.468" Properties=species:S:1:pos:R:3 pbc="T T T"
Ir 1.898 1.096 10.610
Te 1.898 1.096 13.371
Ni 1.898 1.096 18.720
Ni 0.000 0.000 12.230
Ir 0.000 0.000 4.121
Ni 0.000 2.191 5.741
Te 0.000 2.191 0.392
P 0.000 2.191 3.452
Ir 0.000 2.191 17.100
P 1.898 1.096 16.431
Te 0.000 0.000 6.882
P 0.000 0.000 9.941
```

Properties
DOS(E_F)	8.50	states/eV/cell
space group	R3m (160)
distance to the lowest polymorph of the same formula	6.7	kJ/mol of formula units
formation energy (no corrections)	-0.2321	eV/atom

=====

Repeat the first record exactly.
Computed, not measured: a relaxed structure of Li4Tl2Cd3 at the PBE level of DFT.

```
9
Lattice="4.789 0.001 0.002 2.392 4.213 0.185 0.000 -0.234 8.996" Properties=species:S:1:pos:R:3 pbc="T T T"
Li 2.395 4.114 3.170
Cd 0.000 0.000 0.000
Li 4.787 -0.135 6.013
Li 4.784 2.623 8.058
Cd 2.394 1.291 4.052
Li 2.398 1.356 1.125
Tl 4.791 2.735 1.977
Tl 2.390 1.244 7.206
Cd 4.787 2.688 5.130
```

Properties
DOS(E_F)	3.89	states/eV/cell
space group	P-1 (2)
calculated formation energy	-0.22	eV per atom

=====

> Among the records above, which one has the highest DOS(E_F)?

NiTePIr

=====

> Which value of DOS(E_F) does entry 2 give?

1.96 states/eV/cell